Density functional theory data (PBE) for BeCO after structural relaxation.

The value obtained for the density of states at the Fermi level is 0.5 states/eV per cell. The calculation puts the formation energy from raw total energies at -1193.3 meV per atom. The total energy comes out at -85.952 eV/cell.

The space group is Amm2 (No. 38) and the conventional cell measures 2.783, 2.520 and 12.624 Å, with angles of 90.00, 90.00 and 90.00 degrees. The distinct sites, in fractional coordinates, are Be at (0.000, 0.000, 0.000), Be at (0.500, 0.000, 0.347), C at (0.000, 0.000, 0.167), C at (0.000, 0.000, 0.614), O at (0.000, 0.000, 0.279) and O at (0.500, 0.000, 0.929).



Density functional theory data (PBE) for Rb2Ag5S4 after structural relaxation.

The value obtained for the density of states at the Fermi level is 24.3 states/eV per cell. The calculation puts the formation energy from raw total energies at -295.1 meV per atom. The total energy comes out at -143.790 eV/cell.

The space group is Fmmm (No. 69) and the conventional cell measures 5.960, 12.996 and 13.967 Å, with angles of 90.00, 90.00 and 90.00 degrees. The distinct sites, in fractional coordinates, are Rb at (0.000, 0.000, 0.160), Ag at (0.000, 0.000, 0.500), Ag at (0.250, 0.250, 0.000), Ag at (0.250, 0.250, 0.250) and S at (0.000, 0.146, 0.373).



Please write out number 2 again, unchanged.
Density functional theory data (PBE) for Rb2Ag5S4 after structural relaxation.

The value obtained for the density of states at the Fermi level is 24.3 states/eV per cell. The calculation puts the formation energy from raw total energies at -295.1 meV per atom. The total energy comes out at -143.790 eV/cell.

The space group is Fmmm (No. 69) and the conventional cell measures 5.960, 12.996 and 13.967 Å, with angles of 90.00, 90.00 and 90.00 degrees. The distinct sites, in fractional coordinates, are Rb at (0.000, 0.000, 0.160), Ag at (0.000, 0.000, 0.500), Ag at (0.250, 0.250, 0.000), Ag at (0.250, 0.250, 0.250) and S at (0.000, 0.146, 0.373).



Among the records above, which one has the lowest formation energy from raw total energies? BeCO



What did the first record say?
Density functional theory data (PBE) for BeCO after structural relaxation.

The value obtained for the density of states at the Fermi level is 0.5 states/eV per cell. The calculation puts the formation energy from raw total energies at -1193.3 meV per atom. The total energy comes out at -85.952 eV/cell.

The space group is Amm2 (No. 38) and the conventional cell measures 2.783, 2.520 and 12.624 Å, with angles of 90.00, 90.00 and 90.00 degrees. The distinct sites, in fractional coordinates, are Be at (0.000, 0.000, 0.000), Be at (0.500, 0.000, 0.347), C at (0.000, 0.000, 0.167), C at (0.000, 0.000, 0.614), O at (0.000, 0.000, 0.279) and O at (0.500, 0.000, 0.929).